# 1
Sc2BTe2 after structural relaxation. Source: Alexandria, functional PBE-GGA.

Results
Total moment   0.00 Bohr magnetons per cell
Fermi-level density of states   0.524 states/eV per atom
Raw formation energy   -0.23 eV/atom
E above lowest polymorph   0.000 eV per atom
Mass density   5.4 g cm⁻³

a = 7.251 Å, b = 7.251 Å, c = 4.150 Å
α = 90.00°, β = 90.00°, γ = 90.00°
Sites, in units of the cell vectors:
Sc: 0.337 0.837 0.000
Sc: 0.837 0.663 0.000
Sc: 0.663 0.163 0.000
Sc: 0.163 0.337 0.000
B: 0.000 0.000 0.000
B: 0.500 0.500 0.000
Te: 0.155 0.655 0.500
Te: 0.655 0.845 0.500
Te: 0.845 0.345 0.500
Te: 0.345 0.155 0.500



# 2
ScB3Te after structural relaxation. Source: Alexandria, functional PBE-GGA.

Results
Total moment   0.00 Bohr magnetons per cell
Fermi-level density of states   0.645 states/eV per atom
Raw formation energy   1.78 eV/atom
E above lowest polymorph   0.000 eV per atom
Mass density   4.0 g cm⁻³

a = 4.396 Å, b = 4.396 Å, c = 4.396 Å
α = 90.00°, β = 90.00°, γ = 90.00°
Sites, in units of the cell vectors:
Sc: 0.500 0.500 0.500
B: 0.000 0.500 0.000
B: 0.000 0.000 0.500
B: 0.500 0.000 0.000
Te: 0.000 0.000 0.000



# 3
Sc2BTe2 after structural relaxation. Source: Alexandria, functional PBE-GGA.

Results
Total moment   0.00 Bohr magnetons per cell
Fermi-level density of states   0.753 states/eV per atom
Raw formation energy   0.51 eV/atom
E above lowest polymorph   0.744 eV per atom
Mass density   4.8 g cm⁻³

a = 4.167 Å, b = 4.167 Å, c = 7.713 Å
α = 74.33°, β = 74.33°, γ = 90.00°
Sites, in units of the cell vectors:
Sc: 0.400 0.400 0.200
Sc: 0.600 0.600 0.800
B: 0.000 0.000 0.000
Te: 0.750 0.250 0.500
Te: 0.250 0.750 0.500



- Look up the total moment of the second one.
  0.00 Bohr magnetons per cell